1.
Below is a geometry-optimized PuBeCuO6 structure, with properties calculated at the PBE level.

- Final energy: -7.329 eV/atom
- SG: P-31c (163)

Cell lengths 4.954, 4.954, 8.810 Å; angles 90.00, 90.00, 120.00 degrees
Positions (direct):
Pu1 0.333 0.667 0.250
Pu2 0.667 0.333 0.750
Be1 0.333 0.667 0.750
Be2 0.667 0.333 0.250
Cu1 0.000 0.000 0.000
Cu2 0.000 0.000 0.500
O1 0.020 0.354 0.633
O2 0.020 0.666 0.867
O3 0.334 0.354 0.867
O4 0.334 0.980 0.633
O5 0.354 0.020 0.133
O6 0.354 0.334 0.367
O7 0.646 0.666 0.633
O8 0.646 0.980 0.867
O9 0.666 0.020 0.367
O10 0.666 0.646 0.133
O11 0.980 0.334 0.133
O12 0.980 0.646 0.367

2.
Below is a geometry-optimized Sc2InSb structure, with properties calculated at the PBE level.

- SG: R3m (160)
- Energy above the lowest structure with this stoichiometry: 0.4419 eV per atom

Cell lengths 10.383, 10.383, 10.383 Å; angles 18.62, 18.62, 18.62 degrees
Positions (direct):
Sc1 0.000 0.000 0.000
Sc2 0.250 0.250 0.250
In1 0.503 0.503 0.503
Sb1 0.746 0.746 0.746

3.
Below is a geometry-optimized CoNiP2 structure, with properties calculated at the PBE level.

- SG: P4mm (99)
- Energy of formation from the pure elements: -1.10 eV per formula unit
- Energy above the lowest structure with this stoichiometry: 0.0698 eV per atom

Cell lengths 3.180, 3.180, 4.613 Å; angles 90.00, 90.00, 90.00 degrees
Positions (direct):
Co1 0.000 0.000 0.000
Ni1 0.500 0.500 0.355
P1 0.000 0.000 0.500
P2 0.500 0.500 0.858

4.
Below is a geometry-optimized Pr4NdSm6 structure, with properties calculated at the PBE level.

- SG: I-42m (121)
- Energy of formation from the pure elements: 4.27 eV per formula unit
- Energy above the lowest structure with this stoichiometry: 0.1030 eV per atom

Cell lengths 8.695, 8.695, 8.695 Å; angles 127.11, 127.11, 78.07 degrees
Positions (direct):
Pr1 0.247 0.247 0.652
Pr2 0.405 0.753 0.000
Pr3 0.595 0.595 0.348
Pr4 0.753 0.405 0.000
Nd1 0.000 0.000 0.000
Sm1 0.000 0.500 0.500
Sm2 0.046 0.582 0.000
Sm3 0.418 0.418 0.464
Sm4 0.500 0.000 0.500
Sm5 0.582 0.046 0.000
Sm6 0.954 0.954 0.536

5.
Below is a geometry-optimized Fe2NiH4Rh structure, with properties calculated at the PBE level.

- Final energy: -5.442 eV/atom
- SG: P2/m (10)

Cell lengths 4.644, 2.753, 4.725 Å; angles 90.00, 108.82, 90.00 degrees
Positions (direct):
Fe1 0.000 0.000 0.000
Fe2 0.500 0.500 0.000
Ni1 0.000 0.500 0.500
H1 0.234 0.500 0.240
H2 0.246 0.000 0.753
H3 0.754 0.000 0.247
H4 0.766 0.500 0.760
Rh1 0.500 0.000 0.500

6.
Below is a geometry-optimized Bi2Rh2Pb structure, with properties calculated at the PBE level.

- SG: P4/mbm (127)
- Energy of formation from the pure elements: -0.06 eV per formula unit
- Energy above the lowest structure with this stoichiometry: 0.0913 eV per atom

Cell lengths 8.093, 8.093, 3.417 Å; angles 90.00, 90.00, 90.00 degrees
Positions (direct):
Bi1 0.152 0.348 0.000
Bi2 0.348 0.848 0.000
Bi3 0.652 0.152 0.000
Bi4 0.848 0.652 0.000
Rh1 0.134 0.634 0.500
Rh2 0.366 0.134 0.500
Rh3 0.634 0.866 0.500
Rh4 0.866 0.366 0.500
Pb1 0.000 0.000 0.500
Pb2 0.500 0.500 0.500

7.
Below is a geometry-optimized Dy4Er3Cd2 structure, with properties calculated at the PBE level.

- SG: C2/m (12)
- Energy of formation from the pure elements: -0.68 eV per formula unit

Cell lengths 7.683, 7.683, 7.715 Å; angles 107.66, 107.66, 36.81 degrees
Positions (direct):
Dy1 0.056 0.056 0.334
Dy2 0.279 0.279 0.679
Dy3 0.721 0.721 0.321
Dy4 0.944 0.944 0.666
Er1 0.386 0.386 0.327
Er2 0.500 0.500 0.000
Er3 0.614 0.614 0.673
Cd1 0.166 0.166 0.998
Cd2 0.834 0.834 0.002

8.
Below is a geometry-optimized CePrAl structure, with properties calculated at the PBE level.

- SG: P2_1/m (11)
- Energy of formation from the pure elements: -0.49 eV per formula unit
- Energy above the lowest structure with this stoichiometry: 0.0411 eV per atom

Cell lengths 3.362, 4.469, 10.785 Å; angles 90.00, 98.84, 90.00 degrees
Positions (direct):
Ce1 0.041 0.250 0.081
Ce2 0.959 0.750 0.919
Pr1 0.191 0.250 0.382
Pr2 0.809 0.750 0.618
Al1 0.390 0.250 0.780
Al2 0.610 0.750 0.220

DOS at the Fermi energy (computed, states/eV per cell): 12.58, 3.89, 3.07, 13.93, 4.28, 7.76, 11.14, 9.21